1.
## Li3Fe2P3O12 (GGA-PBEsol)

Data for crystalline Li3Fe2P3O12 at its relaxed geometry.

It has space group C2/c (No. 15), with a = 11.445 Å, b = 12.468 Å, c = 6.351 Å, α = 90.00°, β = 114.62° and γ = 90.00°. The inequivalent atoms are Li at (0.000, 0.000, 0.000), Li at (0.000, 0.211, 0.250), Li at (0.000, 0.460, 0.250), Fe at (0.212, 0.346, 0.129), P at (0.000, 0.206, 0.750), P at (0.234, 0.396, 0.630), O at (0.045, 0.275, 0.972), O at (0.105, 0.130, 0.741), O at (0.124, 0.084, 0.304), O at (0.153, 0.498, 0.096), O at (0.164, 0.337, 0.392) and O at (0.217, 0.325, 0.817).

Its uncorrected formation energy is -2.024 eV/atom.

---

2.
## Mg2In3 (GGA-PBEsol)

Data for crystalline Mg2In3 at its relaxed geometry.

It has space group P-3m1 (No. 164), with a = 4.8627 Å, b = 4.8627 Å, c = 6.0660 Å, α = 90.00°, β = 90.00° and γ = 120.00°. The inequivalent atoms are Mg at (0.3333, 0.6667, 0.3542), In at (0.0000, 0.0000, 0.5000) and In at (0.3333, 0.6667, 0.8664).

The value obtained for the energy relative to the elements is -0.10 eV/f.u.

---

3.
## Ti3NiSe (GGA-PBEsol)

Data for crystalline Ti3NiSe at its relaxed geometry.

It has space group Pm-3m (No. 221), with a = 4.482 Å, b = 4.482 Å, c = 4.482 Å, α = 90.00°, β = 90.00° and γ = 90.00°. The inequivalent atoms are Ti at (0.000, 0.000, 0.500), Ni at (0.000, 0.000, 0.000) and Se at (0.500, 0.500, 0.500).

Its uncorrected formation energy is 0.133 eV/atom.

---

4.
## GdSb (GGA-PBEsol)

Data for crystalline GdSb at its relaxed geometry.

It has space group Fm-3m (No. 225), with a = 6.140 Å, b = 6.140 Å, c = 6.140 Å, α = 90.00°, β = 90.00° and γ = 90.00°. The inequivalent atoms are Gd at (0.000, 0.000, 0.000) and Sb at (0.000, 0.000, 0.500).

Its uncorrected formation energy is -1.195 eV/atom.

---

5.
## TcNiAu2 (GGA-PBEsol)

Data for crystalline TcNiAu2 at its relaxed geometry.

It has space group Cm (No. 8), with a = 9.030 Å, b = 2.701 Å, c = 4.859 Å, α = 90.00°, β = 99.97° and γ = 90.00°. The inequivalent atoms are Tc at (0.000, 0.000, 0.000), Ni at (0.269, 0.000, 0.784), Au at (0.020, 0.500, 0.527) and Au at (0.256, 0.500, 0.254).

The value obtained for the energy relative to the elements is 1.04 eV/f.u.

---

6.
## CaBe2Cu (GGA-PBEsol)

Data for crystalline CaBe2Cu at its relaxed geometry.

It has space group P4/mmm (No. 123), with a = 2.933 Å, b = 2.933 Å, c = 6.576 Å, α = 90.00°, β = 90.00° and γ = 90.00°. The inequivalent atoms are Ca at (0.000, 0.000, 0.000), Be at (0.500, 0.500, 0.334) and Cu at (0.000, 0.000, 0.500).

The value obtained for the energy relative to the elements is 0.96 eV/f.u.

---

7.
## Zn2TeBr (GGA-PBEsol)

Data for crystalline Zn2TeBr at its relaxed geometry.

It has space group Pmmm (No. 47), with a = 3.193 Å, b = 4.998 Å, c = 5.604 Å, α = 90.00°, β = 90.00° and γ = 90.00°. The inequivalent atoms are Zn at (0.000, 0.000, 0.000), Zn at (0.500, 0.500, 0.000), Te at (0.000, 0.500, 0.500) and Br at (0.500, 0.000, 0.500).

Its uncorrected formation energy is 0.302 eV/atom.

---

8.
## NbGaI3 (GGA-PBEsol)

Data for crystalline NbGaI3 at its relaxed geometry.

It has space group Pm-3m (No. 221), with a = 5.477 Å, b = 5.477 Å, c = 5.477 Å, α = 90.00°, β = 90.00° and γ = 90.00°. The inequivalent atoms are Nb at (0.000, 0.000, 0.000), Ga at (0.500, 0.500, 0.500) and I at (0.000, 0.500, 0.500).

Its uncorrected formation energy is 0.751 eV/atom.

---

Magnetic moment values (in μB per cell) by entry order: 40.1; 0.0; 0.0; 28.2; 0.0; 0.0; 0.0; 3.7.
Volume values (in Å³/cell) by entry order: 824; 124; 90; 232; 117; 57; 89; 164.